The following is a DFT calculation (PBE) of an optimized crystal structure of KFeHg2Cl8.

Values from the calculation:
Symmetry   P-1
Calculated total energy   -35.2 eV for the cell shown
Raw formation energy   -19.6 kcal/mol of atoms
Spin magnetization   5.0 μB/f.u.

Unit cell a=6.478 b=7.294 c=8.836 alpha=112.08 beta=91.24 gamma=96.19
Positions (direct):
K 0.000 0.000 0.000
Fe 0.000 0.000 0.500
Hg 0.474 0.283 0.783
Hg 0.526 0.717 0.217
Cl 0.132 0.782 0.240
Cl 0.190 0.870 0.648
Cl 0.294 0.270 0.534
Cl 0.441 0.284 0.060
Cl 0.559 0.716 0.940
Cl 0.706 0.730 0.466
Cl 0.810 0.130 0.352
Cl 0.868 0.218 0.760



The following is a DFT calculation (PBE) of an optimized crystal structure of Zr3HgC.

Values from the calculation:
Symmetry   Pmmn
Calculated total energy   -71.4 eV for the cell shown
Excess energy over the best structure of this formula in the dataset   0.400 eV/atom
ΔE_f   -0.10 eV per atom
Spin magnetization   0.0 μB/f.u.

Unit cell a=3.308 b=7.687 c=7.719 alpha=90.00 beta=90.00 gamma=90.00
Positions (direct):
Zr 0.250 0.064 0.153
Zr 0.250 0.250 0.773
Zr 0.250 0.436 0.153
Zr 0.750 0.564 0.847
Zr 0.750 0.750 0.227
Zr 0.750 0.936 0.847
Hg 0.250 0.750 0.550
Hg 0.750 0.250 0.450
C 0.250 0.750 0.012
C 0.750 0.250 0.988



The following is a DFT calculation (PBE) of an optimized crystal structure of PmTmBi2.

Values from the calculation:
Symmetry   P4/mmm
Calculated total energy   -19.6 eV for the cell shown
Excess energy over the best structure of this formula in the dataset   0.212 eV/atom
ΔE_f   -0.65 eV per atom
Spin magnetization   0.0 μB/f.u.

Unit cell a=5.878 b=5.878 c=3.422 alpha=90.00 beta=90.00 gamma=90.00
Positions (direct):
Pm 0.000 0.000 0.000
Tm 0.500 0.500 0.000
Bi 0.000 0.500 0.500
Bi 0.500 0.000 0.500



The following is a DFT calculation (PBE) of an optimized crystal structure of NiSnAs.

Values from the calculation:
Symmetry   F-43m
Calculated total energy   -14.8 eV for the cell shown
ΔE_f   -0.12 eV per atom
Spin magnetization   0.0 μB/f.u.

Unit cell a=4.318 b=4.318 c=4.318 alpha=60.00 beta=60.00 gamma=60.00
Positions (direct):
Ni 0.000 0.000 0.000
Sn 0.250 0.250 0.250
As 0.750 0.750 0.750



> The highest calculated total energy belongs to which entry?

NiSnAs